First-principles (PBE+U) data for a relaxed Cr3CuF crystal, as listed in Alexandria via LeMat-Bulk.

Results
uncorrected energy	-5.06	eV/atom
D(E_F)	0.660	states/eV per atom
total magnetization	14.85	μB/cell
calculated volume	23.138	Å³/atom

Cell and atoms, written as CIF:
```
data_Cr3CuF
_space_group_name_H-M_alt 'P m -3 m'
_space_group_IT_number 221
_space_group_name_Hall '-P 4 2 3'
_cell_length_a 4.873
_cell_length_b 4.873
_cell_length_c 4.873
_cell_angle_alpha 90.00
_cell_angle_beta 90.00
_cell_angle_gamma 90.00
loop_
_atom_site_label
_atom_site_type_symbol
_atom_site_fract_x
_atom_site_fract_y
_atom_site_fract_z
Cr1 Cr 0.000 0.000 0.500
Cu1 Cu 0.000 0.000 0.000
F1 F 0.500 0.500 0.500
```